First-principles (GGA-PBE) data for a relaxed TiCr4Tc crystal, as listed in Alexandria via LeMat-Bulk.

```
6
Lattice="-3.440 -2.124 2.587 -3.006 -3.103 -2.091 0.301 -4.683 1.008" Properties=species:S:1:pos:R:3 pbc="T T T"
Cr -3.989 -3.854 0.437
Cr -2.339 -4.642 1.983
Cr -2.123 -5.131 -0.351
Cr -3.839 -6.190 0.939
Ti -1.536 -2.477 0.376
Tc 0.000 0.000 0.000
```

DOS at the Fermi energy	8.57	states/eV/f.u.
space-group type	No. 216
DFT formation energy	-0.029	eV per atom
total magnetization	0.0	Bohr magnetons per cell

First-principles (GGA-PBE) data for a relaxed BaNaCa2Hg4 crystal, as listed in Alexandria via LeMat-Bulk.

```
8
Lattice="5.420 0.000 0.000 2.710 4.694 0.000 2.710 1.565 9.467" Properties=species:S:1:pos:R:3 pbc="T T T"
Hg 8.130 4.694 3.514
Hg 5.420 3.129 1.616
Na 5.420 3.129 4.734
Ca 2.710 1.565 2.686
Ca 8.130 4.694 6.781
Ba 0.000 0.000 0.000
Hg 5.420 3.129 7.851
Hg 2.710 1.565 5.953
```

DOS at the Fermi energy	5.34	states/eV/f.u.
space-group type	No. 166
DFT formation energy	-0.425	eV per atom
total magnetization	0.0	Bohr magnetons per cell

First-principles (GGA-PBE) data for a relaxed PuTh2Se3 crystal, as listed in Alexandria via LeMat-Bulk.

```
24
Lattice="-1.396 -5.626 -1.198 -1.061 -1.482 8.194 -12.055 3.201 -0.982" Properties=species:S:1:pos:R:3 pbc="T T T"
Se -11.037 -3.117 5.526
Se -7.009 -4.163 5.799
Pu -2.311 -2.423 6.774
Pu -8.776 -3.276 3.660
Se -4.044 -1.520 4.582
Th -4.231 -3.586 -0.127
Se -11.564 1.359 -0.231
Pu -5.736 -0.632 2.354
Th -9.831 0.441 2.037
Se -6.512 -3.438 1.814
Se -7.503 0.256 0.215
Se -2.947 -5.266 6.245
Se -3.475 -0.790 0.488
Th -8.196 -2.540 -0.469
Se -12.091 0.592 3.982
Th -6.316 -1.367 6.483
Se -2.421 -4.499 2.032
Th -10.280 -0.322 6.141
Th -1.740 -1.700 2.715
Pu -12.201 -1.484 -0.760
Se -8.000 -0.469 4.200
Th -4.681 -4.348 3.977
Th -12.772 -2.207 3.299
Se -10.468 -2.387 1.432
```

raw formation energy	-1.54	eV/atom
DOS at the Fermi energy	10.38	states/eV/f.u.
space-group type	No. 14
total magnetization	22.5	Bohr magnetons per cell

First-principles (GGA-PBE) data for a relaxed Ca2PrPt2 crystal, as listed in Alexandria via LeMat-Bulk.

```
10
Lattice="4.455 0.000 0.000 0.000 5.657 -0.957 0.000 -1.628 11.361" Properties=species:S:1:pos:R:3 pbc="T T T"
Ca 1.114 4.189 -0.274
Pt 1.114 0.474 8.924
Ca 1.114 3.159 7.377
Pr 3.341 0.199 6.905
Pt 3.341 3.555 1.480
Ca 3.341 0.871 3.027
Ca 3.341 -0.160 10.678
Pt 3.341 2.932 5.365
Pr 1.114 3.830 3.499
Pt 1.114 1.097 5.039
```

DOS at the Fermi energy	2.56	states/eV/f.u.
space-group type	No. 11
DFT formation energy	-0.888	eV per atom
total magnetization	0.0	Bohr magnetons per cell
energy above the lowest structure with this stoichiometry	0.000	eV/atom

First-principles (GGA-PBE) data for a relaxed SrOs2Cl crystal, as listed in Alexandria via LeMat-Bulk.

```
4
Lattice="9.666 0.017 0.010 9.212 2.927 0.010 9.212 1.436 2.550" Properties=species:S:1:pos:R:3 pbc="T T T"
Sr 7.023 1.095 0.642
Os 13.767 2.146 1.259
Cl 21.068 3.284 1.927
Os 0.278 0.043 0.025
```

raw formation energy	1.31	eV/atom
DOS at the Fermi energy	4.78	states/eV/f.u.
space-group type	No. 166
total magnetization	0.0	Bohr magnetons per cell
energy above the lowest structure with this stoichiometry	1.381	eV/atom

First-principles (GGA-PBE) data for a relaxed La8Se3I4N crystal, as listed in Alexandria via LeMat-Bulk.

```
16
Lattice="-2.701 -0.448 -8.084 7.676 -4.512 -2.314 -4.771 -3.263 6.281" Properties=species:S:1:pos:R:3 pbc="T T T"
La 2.723 -4.564 -0.657
Se 2.487 -2.480 -5.199
Se 1.452 -3.887 1.983
La 0.045 -6.393 2.870
I -2.386 -1.631 3.140
Se 0.102 -4.111 -2.059
I -3.736 -1.855 -0.902
La -2.520 -3.658 -3.461
La 0.158 -1.829 -6.988
La 1.192 -5.060 -4.624
N 3.838 -2.256 -1.157
I -1.351 -0.224 -4.042
La 1.675 -1.578 -2.447
La -1.472 -6.645 -1.671
I 0.000 0.000 0.000
La -0.989 -3.162 0.506
```

raw formation energy	-1.43	eV/atom
DOS at the Fermi energy	11.70	states/eV/f.u.
space-group type	No. 166
total magnetization	0.0	Bohr magnetons per cell

First-principles (GGA-PBE) data for a relaxed Be2CrH crystal, as listed in Alexandria via LeMat-Bulk.

```
8
Lattice="-1.051 0.317 4.264 -2.884 -3.294 -0.466 0.265 -3.543 2.602" Properties=species:S:1:pos:R:3 pbc="T T T"
H -2.293 -4.163 2.018
Be -2.524 -4.440 5.391
Be -1.996 -4.595 3.260
Cr -1.377 -2.357 4.382
H -1.967 -1.489 1.899
Cr 0.000 0.000 0.000
Be -0.689 -1.178 2.193
Be -2.130 -2.826 1.956
```

DOS at the Fermi energy	2.21	states/eV/f.u.
space-group type	No. 227
total magnetization	0.0	Bohr magnetons per cell
energy above the lowest structure with this stoichiometry	0.000	eV/atom

First-principles (GGA-PBE) data for a relaxed Y2MgRu crystal, as listed in Alexandria via LeMat-Bulk.

```
4
Lattice="-4.111 1.900 -2.042 -0.707 -0.309 -4.907 -3.495 -3.025 -1.820" Properties=species:S:1:pos:R:3 pbc="T T T"
Y -2.078 -0.358 -2.192
Mg -4.156 -0.717 -4.385
Ru -6.235 -1.075 -6.577
Y 0.000 0.000 0.000
```

DOS at the Fermi energy	3.82	states/eV/f.u.
space-group type	No. 216
DFT formation energy	0.036	eV per atom
total magnetization	0.0	Bohr magnetons per cell